# PmMg5Au6 (GGA-PBE, relaxed)
# **Electronic total energy**: -3.32 eV per atom
# **Energy relative to the elements**: -622 meV/atom
data_PmMg5Au6
_symmetry_space_group_name_H-M 'P 1 2/m 1'
_symmetry_Int_Tables_number 10
_cell_length_a 4.779
_cell_length_b 6.842
_cell_length_c 7.528
_cell_angle_alpha 90.00
_cell_angle_beta 107.96
_cell_angle_gamma 90.00
loop_
_symmetry_equiv_pos_as_xyz
'x,y,z'
'-x,-y,-z'
'-x,y,-z'
'x,-y,z'
loop_
_atom_site_label
_atom_site_type_symbol
_atom_site_fract_x
_atom_site_fract_y
_atom_site_fract_z
Pm1 Pm 0.000 0.000 0.000
Mg1 Mg 0.000 0.500 0.000
Mg2 Mg 0.328 0.000 0.657
Mg3 Mg 0.333 0.500 0.674
Au1 Au 0.177 0.264 0.347
Au2 Au 0.500 0.272 0.000